one.
DFT (PBE) results for a relaxed HoTmTl crystal.

Lattice parameters (Å, degrees): 5.1369 5.1369 5.1369 60.00 60.00 60.00
Closest atoms and distances in Å follow each position.
Element x y z (fractional)
Ho  0.0000  0.0000  0.0000  4 Tl 3.15
Tm  0.5000  0.5000  0.5000  4 Tl 3.15
Tl  0.7500  0.7500  0.7500  4 Ho 3.15, 4 Tm 3.15

---

two.
DFT (PBE) results for a relaxed HoTmTl crystal.

Lattice parameters (Å, degrees): 5.3672 5.3672 6.6679 90.00 90.00 120.00
Closest atoms and distances in Å follow each position.
Element x y z (fractional)
Ho  0.3333  0.6667  0.2500  5 Tl 3.10-3.33
Ho  0.6667  0.3333  0.7500  5 Tl 3.10-3.33
Tm  0.0000  0.0000  0.0000  2 Tm 3.33, 6 Tl 3.52, 6 Ho 3.52
Tm  0.0000  0.0000  0.5000  2 Tm 3.33, 6 Tl 3.52, 6 Ho 3.52
Tl  0.3333  0.6667  0.7500  5 Ho 3.10-3.33
Tl  0.6667  0.3333  0.2500  5 Ho 3.10-3.33

---

three.
DFT (PBE) results for a relaxed HoTmTl crystal.

Lattice parameters (Å, degrees): 7.2638 7.2638 7.2638 151.85 151.85 40.24
Closest atoms and distances in Å follow each position.
Element x y z (fractional)
Ho  0.0000  0.0000  0.0000  4 Tl 3.32, 4 Tm 3.52, 4 Ho 3.53
Tm  0.3186  0.3186  0.0000  4 Tl 3.30, 4 Ho 3.52, 4 Tm 3.53
Tl  0.6605  0.6605  0.0000  4 Tm 3.30, 4 Ho 3.32, 4 Tl 3.53

---

Top of the stability list: two, leading by 0.018 eV/atom.

---

one.
DFT (PBE) results for a relaxed HoTmTl crystal.

Lattice parameters (Å, degrees): 5.3601 5.3601 6.6650 90.00 90.00 120.00
Closest atoms and distances in Å follow each position.
Element x y z (fractional)
Ho  0.0000  0.0000  0.0000  2 Ho 3.33, 6 Tm 3.51, 6 Tl 3.51
Ho  0.0000  0.0000  0.5000  2 Ho 3.33, 6 Tl 3.51, 6 Tm 3.51
Tm  0.3333  0.6667  0.2500  5 Tl 3.09-3.33
Tm  0.6667  0.3333  0.7500  5 Tl 3.09-3.33
Tl  0.3333  0.6667  0.7500  5 Tm 3.09-3.33
Tl  0.6667  0.3333  0.2500  5 Tm 3.09-3.33

---

two.
DFT (PBE) results for a relaxed HoTmTl crystal.

Lattice parameters (Å, degrees): 6.6670 6.6670 4.8884 90.00 90.00 90.85
Closest atoms and distances in Å follow each position.
Element x y z (fractional)
Ho  0.1878  0.8122  0.0000  3 Tl 2.97-3.03
Ho  0.8122  0.1878  0.0000  3 Tl 2.97-3.03
Tm  0.3131  0.3131  0.5000  3 Tl 2.93-3.01
Tm  0.6869  0.6869  0.5000  3 Tl 2.93-3.01
Tl  0.0000  0.0000  0.5000  2 Tm 2.93, 4 Ho 3.03
Tl  0.5000  0.5000  0.0000  2 Ho 2.97, 4 Tm 3.01

---

Top of the stability list: one, leading by 0.497 eV/atom.

---

one.
DFT (PBE) results for a relaxed Ho5Tm4Tl crystal.

Lattice parameters (Å, degrees): 9.3969 9.3969 10.9212 118.25 118.25 21.50
Closest atoms and distances in Å follow each position.
Element x y z (fractional)
Ho  0.0000  0.0000  0.0000  6 Tm 3.38-3.56, 6 Ho 3.51-3.61
Ho  0.3111  0.3111  0.9175  3 Tm 3.35-3.71, 6 Ho 3.44-3.61
Ho  0.3373  0.3373  0.3616  2 Tl 3.16, 4 Tm 3.25-3.53, 4 Ho 3.44-3.51
Ho  0.6627  0.6627  0.6384  2 Tl 3.16, 4 Tm 3.25-3.53, 4 Ho 3.44-3.51
Ho  0.6889  0.6889  0.0825  3 Tm 3.35-3.71, 6 Ho 3.44-3.61
Tm  0.1593  0.1593  0.3550  4 Ho 3.25-3.56, 4 Tm 3.50-3.51
Tm  0.4734  0.4734  0.2406  2 Tl 3.16, 4 Ho 3.35-3.38, 4 Tm 3.50-3.51
Tm  0.5266  0.5266  0.7594  2 Tl 3.16, 4 Ho 3.35-3.38, 4 Tm 3.50-3.51
Tm  0.8407  0.8407  0.6450  4 Ho 3.25-3.56, 4 Tm 3.50-3.51
Tl  0.0000  0.0000  0.5000  4 Tm 3.16, 4 Ho 3.16, 2 Tl 3.51

---

two.
DFT (PBE) results for a relaxed Ho5Tm4Tl crystal.

Lattice parameters (Å, degrees): 7.8208 7.8208 7.8208 98.84 98.84 133.83
Closest atoms and distances in Å follow each position.
Element x y z (fractional)
Ho  0.0000  0.0000  0.0000  1 Tl 2.84
Ho  0.4549  0.5379  0.6264  1 Tl 3.07, 2 Tm 3.22-3.25, 1 Ho 3.37
Ho  0.5379  0.9116  0.0830  1 Tl 3.07, 2 Tm 3.22-3.25, 1 Ho 3.37
Ho  0.8286  0.4549  0.9170  1 Tl 3.07, 2 Tm 3.22-3.25, 1 Ho 3.37
Ho  0.9116  0.8286  0.3736  1 Tl 3.07, 2 Tm 3.22-3.25, 1 Ho 3.37
Tm  0.1406  0.5332  0.3031  4 Ho 3.22-3.47, 1 Tm 3.23
Tm  0.2301  0.8376  0.6969  4 Ho 3.22-3.47, 1 Tm 3.23
Tm  0.5332  0.2301  0.3925  4 Ho 3.22-3.47, 1 Tm 3.23
Tm  0.8376  0.1406  0.6075  4 Ho 3.22-3.47, 1 Tm 3.23
Tl  0.4634  0.4634  0.0000  5 Ho 2.84-3.07

---

Top of the stability list: one, leading by 0.160 eV/atom.

---

one.
DFT (PBE) results for a relaxed Ho12Tm6Tl crystal.

Lattice parameters (Å, degrees): 8.3804 8.3804 8.3804 88.76 88.76 88.76
Closest atoms and distances in Å follow each position.
Element x y z (fractional)
Ho  0.0391  0.9336  0.2812  3 Tm 3.26-3.43, 6 Ho 3.26-3.62
Ho  0.0664  0.7188  0.9609  3 Tm 3.26-3.43, 6 Ho 3.26-3.62
Ho  0.1355  0.4877  0.3189  4 Tm 3.37-3.63, 5 Ho 3.44-3.76, 1 Tl 3.44
Ho  0.2812  0.0391  0.9336  3 Tm 3.26-3.43, 6 Ho 3.26-3.62
Ho  0.3189  0.1355  0.4877  4 Tm 3.37-3.63, 5 Ho 3.44-3.76, 1 Tl 3.44
Ho  0.4877  0.3189  0.1355  4 Tm 3.37-3.63, 5 Ho 3.44-3.76, 1 Tl 3.44
Ho  0.5123  0.6811  0.8645  4 Tm 3.37-3.63, 5 Ho 3.44-3.76, 1 Tl 3.44
Ho  0.6811  0.8645  0.5123  4 Tm 3.37-3.63, 5 Ho 3.44-3.76, 1 Tl 3.44
Ho  0.7188  0.9609  0.0664  3 Tm 3.26-3.43, 6 Ho 3.26-3.62
Ho  0.8645  0.5123  0.6811  4 Tm 3.37-3.63, 5 Ho 3.44-3.76, 1 Tl 3.44
Ho  0.9336  0.2812  0.0391  3 Tm 3.26-3.43, 6 Ho 3.26-3.62
Ho  0.9609  0.0664  0.7188  3 Tm 3.26-3.43, 6 Ho 3.26-3.62
Tm  0.2081  0.7590  0.5974  7 Ho 3.26-3.63, 1 Tl 3.34, 2 Tm 3.38
Tm  0.2410  0.4026  0.7919  7 Ho 3.26-3.63, 1 Tl 3.34, 2 Tm 3.38
Tm  0.4026  0.7919  0.2410  7 Ho 3.26-3.63, 1 Tl 3.34, 2 Tm 3.38
Tm  0.5974  0.2081  0.7590  7 Ho 3.26-3.63, 1 Tl 3.34, 2 Tm 3.38
Tm  0.7590  0.5974  0.2081  7 Ho 3.26-3.63, 1 Tl 3.34, 2 Tm 3.38
Tm  0.7919  0.2410  0.4026  7 Ho 3.26-3.63, 1 Tl 3.34, 2 Tm 3.38
Tl  0.5000  0.5000  0.5000  6 Tm 3.34, 6 Ho 3.44

---

two.
DFT (PBE) results for a relaxed Ho12Tm6Tl crystal.

Lattice parameters (Å, degrees): 9.2474 9.2474 9.2474 110.94 110.94 110.94
Closest atoms and distances in Å follow each position.
Element x y z (fractional)
Ho  0.0536  0.3719  0.5848  8 Ho 3.46-3.54, 4 Tm 3.48-3.53
Ho  0.1036  0.7352  0.1557  8 Ho 3.47-3.54, 3 Tm 3.49-3.52, 1 Tl 3.49
Ho  0.1557  0.1036  0.7352  8 Ho 3.47-3.54, 3 Tm 3.49-3.52, 1 Tl 3.49
Ho  0.2648  0.8443  0.8964  8 Ho 3.47-3.54, 3 Tm 3.49-3.52, 1 Tl 3.49
Ho  0.3719  0.5848  0.0536  8 Ho 3.46-3.54, 4 Tm 3.48-3.53
Ho  0.4152  0.9464  0.6281  8 Ho 3.46-3.54, 4 Tm 3.48-3.53
Ho  0.5848  0.0536  0.3719  8 Ho 3.46-3.54, 4 Tm 3.48-3.53
Ho  0.6281  0.4152  0.9464  8 Ho 3.46-3.54, 4 Tm 3.48-3.53
Ho  0.7352  0.1557  0.1036  8 Ho 3.47-3.54, 3 Tm 3.49-3.52, 1 Tl 3.49
Ho  0.8443  0.8964  0.2648  8 Ho 3.47-3.54, 3 Tm 3.49-3.52, 1 Tl 3.49
Ho  0.8964  0.2648  0.8443  8 Ho 3.47-3.54, 3 Tm 3.49-3.52, 1 Tl 3.49
Ho  0.9464  0.6281  0.4152  8 Ho 3.46-3.54, 4 Tm 3.48-3.53
Tm  0.2124  0.4730  0.3163  4 Tm 3.46-3.47, 7 Ho 3.48-3.53, 1 Tl 3.49
Tm  0.3163  0.2124  0.4730  4 Tm 3.46-3.47, 7 Ho 3.48-3.53, 1 Tl 3.49
Tm  0.4730  0.3163  0.2124  4 Tm 3.46-3.47, 7 Ho 3.48-3.53, 1 Tl 3.49
Tm  0.5270  0.6837  0.7876  4 Tm 3.46-3.47, 7 Ho 3.48-3.53, 1 Tl 3.49
Tm  0.6837  0.7876  0.5270  4 Tm 3.46-3.47, 7 Ho 3.48-3.53, 1 Tl 3.49
Tm  0.7876  0.5270  0.6837  4 Tm 3.46-3.47, 7 Ho 3.48-3.53, 1 Tl 3.49
Tl  0.0000  0.0000  0.0000  6 Tm 3.49, 6 Ho 3.49

---

Top of the stability list: two, leading by 0.096 eV/atom.